SiBi3Os after structural relaxation. Source: Alexandria via LeMat-Bulk, functional PBE.

abc: 5.2456 5.2456 5.2456
angles: 90.00 90.00 90.00
With the nearest neighbours (Å) after each atom.
Element x y z (fractional)
Si 0.0000 0.0000 0.0000  6 Bi 2.62
Bi 0.5000 0.0000 0.0000  2 Si 2.62
Bi 0.0000 0.0000 0.5000  2 Si 2.62
Bi 0.0000 0.5000 0.0000  2 Si 2.62
Os 0.5000 0.5000 0.5000  12 Bi 3.71

Calculated values
space-group type: Pm-3m (221)
ΔE to the lowest computed polymorph: 569 meV/atom
total magnetization: 1.9 μB/f.u.
theoretical density: 9.724 g/cm³
formation energy without anion corrections: 1.6036 eV per atom



SiBiOs3 after structural relaxation. Source: Alexandria via LeMat-Bulk, functional PBE.

abc: 4.5121 4.5121 4.5121
angles: 90.00 90.00 90.00
With the nearest neighbours (Å) after each atom.
Element x y z (fractional)
Os 0.0000 0.5000 0.0000  2 Si 2.26
Os 0.5000 0.0000 0.0000  2 Si 2.26
Os 0.0000 0.0000 0.5000  2 Si 2.26
Si 0.0000 0.0000 0.0000  6 Os 2.26
Bi 0.5000 0.5000 0.5000  12 Os 3.19

Calculated values
space-group type: Pm-3m (221)
ΔE to the lowest computed polymorph: 0 meV/atom
total magnetization: 0.0 μB/f.u.
theoretical density: 14.601 g/cm³
formation energy without anion corrections: 1.1115 eV per atom



SiBiOs3 after structural relaxation. Source: Alexandria via LeMat-Bulk, functional PBE.

abc: 4.9857 4.9857 4.9857
angles: 90.00 90.00 90.00
With the nearest neighbours (Å) after each atom.
Element x y z (fractional)
Os 0.0000 0.0000 0.5000  2 Bi 2.49
Os 0.5000 0.0000 0.0000  2 Bi 2.49
Os 0.0000 0.5000 0.0000  2 Bi 2.49
Bi 0.0000 0.0000 0.0000  6 Os 2.49
Si 0.5000 0.5000 0.5000  12 Os 3.53

Calculated values
space-group type: Pm-3m (221)
ΔE to the lowest computed polymorph: 2056 meV/atom
total magnetization: 3.1 μB/f.u.
theoretical density: 10.823 g/cm³
formation energy without anion corrections: 3.1679 eV per atom



SiBi2Os after structural relaxation. Source: Alexandria via LeMat-Bulk, functional PBE.

abc: 6.3539 6.3539 7.5745
angles: 65.20 65.20 90.00
With the nearest neighbours (Å) after each atom.
Element x y z (fractional)
Si 0.5000 0.5000 0.0000  4 Bi 2.78
Si 0.2500 0.7500 0.5000  4 Bi 2.78
Os 0.7500 0.2500 0.5000  4 Bi 2.65
Os 0.0000 0.0000 0.0000  4 Bi 2.65
Bi 0.3750 0.3577 0.7500  2 Os 2.65, 2 Si 2.78
Bi 0.1077 0.6250 0.2500  2 Os 2.65, 2 Si 2.78
Bi 0.6423 0.1250 0.2500  2 Os 2.65, 2 Si 2.78
Bi 0.8750 0.8923 0.7500  2 Os 2.65, 2 Si 2.78

Calculated values
space-group type: I-42d (122)
total magnetization: 0.0 μB/f.u.
theoretical density: 8.583 g/cm³
formation energy without anion corrections: 0.9639 eV per atom



TlSiBi2Os after structural relaxation. Source: Alexandria via LeMat-Bulk, functional PBE.

abc: 5.5623 4.5171 5.5623
angles: 90.00 90.00 90.00
With the nearest neighbours (Å) after each atom.
Element x y z (fractional)
Tl 0.5000 0.5000 0.5000  8 Bi 3.58, 4 Os 3.93
Os 0.0000 0.5000 0.0000  2 Si 2.26
Bi 0.0000 0.0000 0.5000  2 Si 2.78
Bi 0.5000 0.0000 0.0000  2 Si 2.78
Si 0.0000 0.0000 0.0000  2 Os 2.26

Calculated values
space-group type: P4/mmm (123)
total magnetization: 0.7 μB/f.u.
theoretical density: 9.988 g/cm³
formation energy without anion corrections: 0.8365 eV per atom



ZnSiBiOs2 after structural relaxation. Source: Alexandria via LeMat-Bulk, functional PBE.

abc: 4.5543 4.5326 4.5543
angles: 90.00 90.00 90.00
With the nearest neighbours (Å) after each atom.
Element x y z (fractional)
Si 0.0000 0.0000 0.0000  2 Zn 2.27, 4 Os 2.28
Bi 0.5000 0.5000 0.5000  8 Os 3.21, 4 Zn 3.22
Os 0.5000 0.0000 0.0000  2 Si 2.28
Os 0.0000 0.0000 0.5000  2 Si 2.28
Zn 0.0000 0.5000 0.0000  2 Si 2.27

Calculated values
space-group type: P4/mmm (123)
total magnetization: 0.0 μB/f.u.
theoretical density: 12.063 g/cm³
formation energy without anion corrections: 0.8671 eV per atom